## i
VASP calculation (PBE) on crystalline LiBiRu3 at its relaxed geometry.

abc: 4.268 4.268 4.268
angles: 90.00 90.00 90.00
Space group Pm-3m (No. 221)
Symmetry-distinct sites (fractional):
Li1 0.000 0.000 0.000 x1
Bi1 0.500 0.500 0.500 x1
Ru1 0.000 0.000 0.500 x3



## ii
VASP calculation (PBE) on crystalline LiBiRu3 at its relaxed geometry.

abc: 5.034 5.034 5.034
angles: 90.00 90.00 90.00
Space group Pm-3m (No. 221)
Symmetry-distinct sites (fractional):
Li1 0.000 0.000 0.000 x1
Bi1 0.500 0.500 0.500 x1
Ru1 0.000 0.500 0.500 x3



Of them, i has the highest stability.



## i
VASP calculation (PBE) on crystalline Li3BiS3 at its relaxed geometry.

abc: 7.1281 7.1281 19.7933
angles: 90.00 90.00 120.00
Space group R-3 (No. 148, hexagonal axes)
Symmetry-distinct sites (fractional):
Li1 0.0115 0.3058 0.1203 x18
Bi1 0.0000 0.0000 0.3298 x6
S1 0.0089 0.3686 0.9129 x18



## ii
VASP calculation (PBE) on crystalline Li3BiS3 at its relaxed geometry.

abc: 8.151 8.151 8.151
angles: 90.00 90.00 90.00
Space group P2_13 (No. 198)
Symmetry-distinct sites (fractional):
Li1 0.025 0.025 0.025 x4
Li2 0.184 0.316 0.684 x4
Li3 0.207 0.707 0.793 x4
Bi1 0.081 0.919 0.419 x4
S1 0.007 0.750 0.124 x12



## iii
VASP calculation (PBE) on crystalline Li3BiS3 at its relaxed geometry.

abc: 7.766 6.876 10.421
angles: 90.00 90.00 90.00
Space group Pna2_1 (No. 33)
Symmetry-distinct sites (fractional):
Li1 0.060 0.042 0.000 x4
Li2 0.105 0.334 0.440 x4
Li3 0.245 0.368 0.142 x4
Bi1 0.214 0.386 0.763 x4
S1 0.040 0.144 0.251 x4
S2 0.150 0.687 0.447 x4
S3 0.166 0.693 0.069 x4



## iv
VASP calculation (PBE) on crystalline Li3BiS3 at its relaxed geometry.

abc: 3.979 12.407 12.158
angles: 90.00 103.67 90.00
Space group P2_1/c (No. 14)
Symmetry-distinct sites (fractional):
Li1 0.026 0.221 0.025 x4
Li2 0.278 0.035 0.396 x4
Li3 0.362 0.544 0.383 x4
Bi1 0.368 0.703 0.753 x4
S1 0.203 0.092 0.592 x4
S2 0.221 0.127 0.212 x4
S3 0.446 0.145 0.930 x4



Of them, i has the highest stability.



## i
VASP calculation (PBE) on crystalline Li3BiS3 at its relaxed geometry.

abc: 5.878 16.152 8.344
angles: 90.00 133.86 90.00
Space group P2_1/c (No. 14)
Symmetry-distinct sites (fractional):
Li1 0.145 0.192 0.181 x4
Li2 0.211 0.071 0.910 x4
Li3 0.286 0.687 0.262 x4
Bi1 0.371 0.088 0.592 x4
S1 0.217 0.248 0.967 x4
S2 0.245 0.582 0.474 x4
S3 0.271 0.590 0.003 x4



## ii
VASP calculation (PBE) on crystalline Li3BiS3 at its relaxed geometry.

abc: 10.9593 10.9593 8.1861
angles: 90.00 90.00 120.00
Space group R3c (No. 161, hexagonal axes)
Symmetry-distinct sites (fractional):
Li1 0.0584 0.3440 0.0000 x18
Bi1 0.0000 0.0000 0.2419 x6
S1 0.2081 0.4270 0.2557 x18



Of them, ii has the highest stability.



## i
VASP calculation (PBE) on crystalline Li2BiS2 at its relaxed geometry.

abc: 7.474 7.474 3.550
angles: 90.00 90.00 90.00
Space group P4/mbm (No. 127)
Symmetry-distinct sites (fractional):
Li1 0.135 0.365 0.000 x4
Bi1 0.000 0.000 0.500 x2
S1 0.170 0.670 0.500 x4



## ii
VASP calculation (PBE) on crystalline Li2BiS2 at its relaxed geometry.

abc: 3.742 3.742 13.086
angles: 90.00 90.00 90.00
Space group I4/mmm (No. 139)
Symmetry-distinct sites (fractional):
Li1 0.000 0.500 0.250 x4
Bi1 0.000 0.000 0.000 x2
S1 0.000 0.000 0.366 x4



## iii
VASP calculation (PBE) on crystalline Li2BiS2 at its relaxed geometry.

abc: 4.015 4.033 13.504
angles: 90.00 90.00 90.00
Space group Immm (No. 71)
Symmetry-distinct sites (fractional):
Li1 0.000 0.000 0.241 x4
Bi1 0.000 0.000 0.500 x2
S1 0.000 0.500 0.148 x4



Of them, iii has the highest stability.



## i
VASP calculation (PBE) on crystalline Li3BiS at its relaxed geometry.

abc: 4.667 4.667 4.667
angles: 90.00 90.00 90.00
Space group Pm-3m (No. 221)
Symmetry-distinct sites (fractional):
Li1 0.000 0.000 0.500 x3
Bi1 0.500 0.500 0.500 x1
S1 0.000 0.000 0.000 x1



## ii
VASP calculation (PBE) on crystalline Li3BiS at its relaxed geometry.

abc: 5.240 5.240 5.240
angles: 90.00 90.00 90.00
Space group Pm-3m (No. 221)
Symmetry-distinct sites (fractional):
Li1 0.000 0.000 0.500 x3
Bi1 0.000 0.000 0.000 x1
S1 0.500 0.500 0.500 x1



Of them, i has the highest stability.



## i
VASP calculation (PBE) on crystalline LiBiS3 at its relaxed geometry.

abc: 5.237 5.237 5.237
angles: 90.00 90.00 90.00
Space group Pm-3m (No. 221)
Symmetry-distinct sites (fractional):
Li1 0.000 0.000 0.000 x1
Bi1 0.500 0.500 0.500 x1
S1 0.000 0.500 0.500 x3



## ii
VASP calculation (PBE) on crystalline LiBiS3 at its relaxed geometry.

abc: 7.970 6.871 10.695
angles: 90.00 119.15 90.00
Space group P2_1/c (No. 14)
Symmetry-distinct sites (fractional):
Li1 0.163 0.192 0.074 x4
Bi1 0.256 0.707 0.835 x4
S1 0.031 0.018 0.848 x4
S2 0.262 0.570 0.078 x4
S3 0.442 0.126 0.326 x4



## iii
VASP calculation (PBE) on crystalline LiBiS3 at its relaxed geometry.

abc: 4.541 4.541 4.541
angles: 90.00 90.00 90.00
Space group Pm-3m (No. 221)
Symmetry-distinct sites (fractional):
Li1 0.000 0.000 0.000 x1
Bi1 0.500 0.500 0.500 x1
S1 0.000 0.000 0.500 x3



Of them, ii has the highest stability.